Record 1
First-principles (PBE) data for a relaxed structure of TePdPtW2, as listed in the Alexandria database.

a b c (Å): 4.8938 4.8938 4.8352
angles (deg): 90.00 90.00 90.00
Space group P4/mmm (No. 123)
Inequivalent atoms, fractional coordinates:
Te  0.0000  0.0000  0.0000 (multiplicity 1)
Pd  0.5000  0.5000  0.5000 (multiplicity 1)
Pt  0.0000  0.0000  0.5000 (multiplicity 1)
W  0.0000  0.5000  0.0000 (multiplicity 2)

* crystal system: tetragonal
* formation energy without anion corrections: 206 kJ per mole of atoms

=====

Record 2
First-principles (PBE) data for a relaxed structure of ThPd4Pt, as listed in the Alexandria database.

a b c (Å): 4.6311 7.9949 5.7841
angles (deg): 90.00 90.37 90.00
Space group C2/m (No. 12)
Inequivalent atoms, fractional coordinates:
Th  0.0000  0.0000  0.0000 (multiplicity 2)
Pd  0.0011  0.3331  0.2639 (multiplicity 8)
Pt  0.0000  0.0000  0.5000 (multiplicity 2)

* crystal system: monoclinic
* formation energy from the elements: -0.6632 eV/atom

=====

Record 3
First-principles (PBE) data for a relaxed structure of ThPd6Pt, as listed in the Alexandria database.

a b c (Å): 8.1421 8.1526 4.1123
angles (deg): 90.00 90.00 90.00
Space group Cmmm (No. 65)
Inequivalent atoms, fractional coordinates:
Th  0.0000  0.0000  0.0000 (multiplicity 2)
Pd  0.0000  0.2569  0.5000 (multiplicity 4)
Pd  0.2430  0.5000  0.5000 (multiplicity 4)
Pd  0.2500  0.2500  0.0000 (multiplicity 4)
Pt  0.0000  0.5000  0.0000 (multiplicity 2)

* crystal system: orthorhombic
* formation energy from the elements: -0.5044 eV/atom